Record 1
First-principles (PBE) data for an optimized crystal structure of Pu2Mg3Bi4, as listed in Alexandria.

Cell: 6.9041 16.5965 8.8214 Å, 90.00 90.00 90.00°
Closest atoms and distances in Å follow each position.
Space group Cmce (No. 64)
One atom of each set of equivalent atoms:
Pu 0.0000 0.1124 0.0771 x8  8 Bi 3.43-3.66, 4 Mg 3.67-3.77
Mg 0.0000 0.0000 0.5000 x4  6 Bi 2.88-3.12
Mg 0.2500 0.2155 0.7500 x8  3 Bi 2.89-2.92
Bi 0.0000 0.1857 0.4419 x8  5 Mg 2.92-3.26
Bi 0.2500 0.0411 0.7500 x8  3 Mg 2.88-2.89



Record 2
First-principles (PBE) data for an optimized crystal structure of Tb3TmCo8, as listed in Alexandria.

Cell: 5.0646 5.0646 24.8393 Å, 90.00 90.00 120.00°
Closest atoms and distances in Å follow each position.
Space group R3m (No. 160, hexagonal axes)
One atom of each set of equivalent atoms:
Tb 0.0000 0.0000 0.0000 x3  12 Co 2.95-2.97, 3 Tm 3.10, 1 Tb 3.11
Tb 0.0000 0.0000 0.1252 x3  12 Co 2.97-2.99, 4 Tb 3.10-3.11
Tb 0.0000 0.0000 0.5003 x3  12 Co 2.97-2.99, 1 Tm 3.10, 3 Tb 3.10
Tm 0.0000 0.0000 0.6251 x3  12 Co 2.96-2.97, 4 Tb 3.10
Co 0.0000 0.0000 0.3124 x3  6 Co 2.52-2.53
Co 0.0000 0.0000 0.8126 x3  6 Co 2.54
Co 0.0009 0.5005 0.5633 x9  6 Co 2.52-2.54
Co 0.1675 0.3350 0.3953 x9  6 Co 2.52-2.54



| no. | calculated total energy (eV/atom) | formation enthalpy at 0 K (kJ/mol of formula units) |
| --- | --- | --- |
| 1 | -5.720 | -242.2 |
| 2 | -6.469 | -233.7 |